Computed, not measured: Pm12Pr6Al after structural relaxation at the PBE level of DFT.

Values from the calculation:
- E_form: 0.0803 eV/atom
- DOS at the Fermi energy: 28.4 states/eV/f.u.
- Energy: -4.63 eV per atom

```
data_Pm12Pr6Al
_chemical_formula_sum 'Pm36 Pr18 Al3'
_symmetry_space_group_name_H-M 'R -3'
_symmetry_Int_Tables_number 148
_symmetry_space_group_name_Hall '-R 3'
_cell_length_a 12.1662
_cell_length_b 12.1662
_cell_length_c 15.2514
_cell_angle_alpha 90.00
_cell_angle_beta 90.00
_cell_angle_gamma 120.00
loop_
_atom_site_label
_atom_site_fract_x
_atom_site_fract_y
_atom_site_fract_z
Pm1 0.0076 0.1735 0.3153
Pm2 0.0502 0.8517 0.9157
Pr1 0.0205 0.4276 0.1868
Al1 0.0000 0.0000 0.5000
```